Material: PmHo8Te2
Method: DFT, PBE
State: optimized geometry

Structure (POSCAR):
```
PmHo8Te2
1.0
-1.413 5.494 -0.172
-8.583 -1.007 -0.357
-4.610 0.254 7.315
Pm Ho Te
1 8 2
direct
0.000 0.000 0.000
0.230 0.395 0.766
0.770 0.234 0.605
0.122 0.783 0.783
0.878 0.217 0.217
0.230 0.766 0.395
0.770 0.605 0.234
0.710 0.644 0.644
0.290 0.356 0.356
0.575 0.867 0.867
0.425 0.133 0.133
```

As for the space group: C2/m (12).

=====

Material: PmHoTe
Method: DFT, PBE
State: optimized geometry

Structure (POSCAR):
```
PmHoTe
1.0
4.048 0.000 0.000
0.000 5.189 0.000
0.000 -2.594 4.494
Te Ho Pm
1 1 1
direct
0.048 0.000 0.000
0.221 0.333 0.667
0.732 0.667 0.333
```

As for the space group: P3m1 (156).

=====

Material: PmHo2Te5
Method: DFT, PBE
State: optimized geometry

Structure (POSCAR):
```
PmHo2Te5
1.0
-0.421 7.616 2.823
-6.771 1.232 -4.333
-0.348 -6.687 6.275
Pm Ho Te
2 4 10
direct
0.750 0.750 0.500
0.250 0.250 0.500
0.151 0.349 0.000
0.651 0.151 0.000
0.349 0.849 0.000
0.849 0.651 0.000
0.511 0.694 0.705
0.806 0.989 0.295
0.000 0.000 0.000
0.500 0.500 0.000
0.194 0.011 0.705
0.694 0.194 0.705
0.011 0.511 0.705
0.306 0.806 0.295
0.989 0.489 0.295
0.489 0.306 0.295
```

As for the space group: I4/mcm (140).

=====

Material: Pm2HoTe4
Method: DFT, PBE
State: optimized geometry

Structure (POSCAR):
```
Pm2HoTe4
1.0
-0.559 -3.125 -2.854
7.536 0.601 1.059
-0.774 -10.165 11.281
Pm Ho Te
4 2 8
direct
0.132 0.263 0.429
0.868 0.737 0.929
0.132 0.263 0.071
0.868 0.737 0.571
0.628 0.257 0.750
0.372 0.743 0.250
0.782 0.564 0.125
0.782 0.564 0.375
0.218 0.436 0.875
0.218 0.436 0.625
0.976 0.951 0.750
0.024 0.049 0.250
0.500 0.000 0.000
0.500 0.000 0.500
```

As for the space group: Cmcm (63).

=====

Calculated formation energy without anion corrections, -122; -495; -1191; -1359 meV/atom (same order as the records).
Calculated V, 365.4; 94.4; 473.0; 475.7 Å³/cell (same order as the records).
Calculated calculated total energy, -49.00; -13.95; -78.28; -72.32 eV per cell (same order as the records).